K3CoAg2Br9 | PBE | relaxed

Unit cell a=7.552 b=7.552 c=9.120 alpha=90.00 beta=90.00 gamma=120.00
Fractional positions:
K  0.000  0.000  0.000
K  0.333  0.667  0.685
K  0.667  0.333  0.315
Co  0.000  0.000  0.500
Ag  0.333  0.667  0.177
Ag  0.667  0.333  0.823
Br  0.000  0.500  0.000
Br  0.153  0.307  0.344
Br  0.153  0.847  0.344
Br  0.307  0.153  0.656
Br  0.500  0.000  0.000
Br  0.500  0.500  0.000
Br  0.693  0.847  0.344
Br  0.847  0.153  0.656
Br  0.847  0.693  0.656

Calculated values
**Total magnetization**: 0.5 μB/cell
**DOS at the Fermi energy**: 14.6 states/eV/cell
**DFT total energy**: -2.91 eV/atom
**Symmetry**: P-3m1
**E_form (uncorrected)**: -828.1 meV/atom

Ho6Bi2P | PBE | relaxed

Unit cell a=6.469 b=8.011 c=11.789 alpha=90.00 beta=121.80 gamma=90.00
Fractional positions:
Ho  0.103  0.184  0.456
Ho  0.103  0.316  0.956
Ho  0.319  0.683  0.454
Ho  0.319  0.817  0.954
Ho  0.362  0.025  0.238
Ho  0.362  0.475  0.738
Ho  0.638  0.525  0.262
Ho  0.638  0.975  0.762
Ho  0.681  0.183  0.046
Ho  0.681  0.317  0.546
Ho  0.897  0.684  0.044
Ho  0.897  0.816  0.544
Bi  0.163  0.115  0.748
Bi  0.163  0.385  0.248
Bi  0.837  0.615  0.752
Bi  0.837  0.885  0.252
P  0.500  0.000  0.500
P  0.500  0.500  0.000

Calculated values
**Formation enthalpy at 0 K**: -691 meV per atom
**Total magnetization**: 0.0 μB/cell
**DOS at the Fermi energy**: 18.4 states/eV/cell
**DFT total energy**: -5.21 eV/atom
**Symmetry**: P2_1/c

HoPuThTl | PBE | relaxed

Unit cell a=5.419 b=5.419 c=5.419 alpha=60.00 beta=60.00 gamma=60.00
Fractional positions:
Ho  0.000  0.000  0.000
Pu  0.500  0.500  0.500
Th  0.250  0.250  0.250
Tl  0.750  0.750  0.750

Calculated values
**Formation enthalpy at 0 K**: 147 meV per atom
**Total magnetization**: 6.6 μB/cell
**DOS at the Fermi energy**: 11.2 states/eV/cell
**DFT total energy**: -7.03 eV/atom
**Symmetry**: F-43m

Ba5Hg | PBE | relaxed

Unit cell a=8.018 b=8.018 c=8.018 alpha=60.00 beta=60.00 gamma=60.00
Fractional positions:
Ba  0.000  0.000  0.000
Ba  0.126  0.625  0.625
Ba  0.625  0.126  0.625
Ba  0.625  0.625  0.126
Ba  0.625  0.625  0.625
Hg  0.250  0.250  0.250

Calculated values
**Distance to the lowest polymorph of the same formula**: 2.39 eV per formula unit
**Formation enthalpy at 0 K**: 237 meV per atom
**Total magnetization**: 0.0 μB/cell
**DOS at the Fermi energy**: 12.0 states/eV/cell
**DFT total energy**: -1.42 eV/atom
**Symmetry**: F-43m

Ag5Pd4Au | PBE | relaxed

Unit cell a=7.384 b=7.384 c=7.046 alpha=118.43 beta=118.43 gamma=33.09
Fractional positions:
Ag  0.000  0.000  0.000
Ag  0.327  0.327  0.277
Ag  0.329  0.329  0.876
Ag  0.671  0.671  0.124
Ag  0.673  0.673  0.723
Pd  0.176  0.176  0.427
Pd  0.477  0.477  0.724
Pd  0.523  0.523  0.276
Pd  0.824  0.824  0.573
Au  0.000  0.000  0.500

Calculated values
**Distance to the lowest polymorph of the same formula**: 0.00 eV per formula unit
**Formation enthalpy at 0 K**: 70 meV per atom
**Total magnetization**: 0.0 μB/cell
**DOS at the Fermi energy**: 3.8 states/eV/cell
**DFT total energy**: -3.76 eV/atom
**Symmetry**: C2/m

La2Pr5SmDy | PBE | relaxed

Unit cell a=10.428 b=10.428 c=10.428 alpha=130.21 beta=130.21 gamma=73.08
Fractional positions:
La  0.121  0.621  0.741
La  0.379  0.121  0.500
La  0.621  0.879  0.500
La  0.879  0.379  0.259
Pr  0.000  0.000  0.000
Pr  0.076  0.137  0.500
Pr  0.137  0.637  0.061
Pr  0.363  0.424  0.500
Pr  0.424  0.924  0.061
Pr  0.500  0.500  0.000
Pr  0.576  0.076  0.939
Pr  0.637  0.576  0.500
Pr  0.863  0.363  0.939
Pr  0.924  0.863  0.500
Sm  0.250  0.250  0.000
Sm  0.750  0.750  0.000
Dy  0.250  0.750  0.500
Dy  0.750  0.250  0.500

Calculated values
**Formation enthalpy at 0 K**: 244 meV per atom
**Total magnetization**: 0.0 μB/cell
**DOS at the Fermi energy**: 28.7 states/eV/cell
**DFT total energy**: -4.54 eV/atom
**Symmetry**: I4/mcm